[1]
Computed, not measured: a relaxed structure of Sc3C at the GGA-PBE level of DFT.

Geometry as POSCAR:
```
Sc3C
1.0
3.3174 0.0000 0.0000
-1.6587 2.8729 0.0000
0.0000 0.0000 24.9233
Sc C
9 3
Direct
0.0000 0.0000 0.0000
0.0000 0.0000 0.2161
0.0000 0.0000 0.7839
0.3333 0.6667 0.4506
0.3333 0.6667 0.6667
0.3333 0.6667 0.8828
0.6667 0.3333 0.1172
0.6667 0.3333 0.3333
0.6667 0.3333 0.5494
0.0000 0.0000 0.5000
0.3333 0.6667 0.1667
0.6667 0.3333 0.8333
```

Output
- Energy above the most stable polymorph in this dataset: 0.0 kJ per mole of atoms
- Magnetization: 0.15 μB/atom
- SG: R-3m, No. 166
- Calculated formation energy: -1.07 eV per formula unit

[2]
Computed, not measured: a relaxed structure of PmAlBIr2 at the GGA-PBE level of DFT.

Geometry as POSCAR:
```
PmAlBIr2
1.0
2.0429 -5.6706 0.0000
2.0429 5.6706 0.0000
0.0000 0.0000 7.3167
Pm Al B Ir
2 2 2 4
Direct
0.0549 0.9451 0.7500
0.9451 0.0549 0.2500
0.2259 0.7741 0.2500
0.7741 0.2259 0.7500
0.5000 0.5000 0.0000
0.5000 0.5000 0.5000
0.3334 0.6666 0.5592
0.3334 0.6666 0.9408
0.6666 0.3334 0.0592
0.6666 0.3334 0.4408
```

Output
- Magnetization: 0.00 μB/atom
- SG: Cmcm, No. 63
- Calculated formation energy: -3.80 eV per formula unit

[3]
Computed, not measured: a relaxed structure of CrMoAs at the GGA-PBE level of DFT.

Geometry as POSCAR:
```
CrMoAs
1.0
4.1580 0.0000 0.0000
-2.0790 3.6009 0.0000
0.0000 0.0000 2.8556
Cr Mo As
1 1 1
Direct
0.0000 0.0000 0.0000
0.3333 0.6667 0.4190
0.6667 0.3333 0.9613
```

Output
- Energy above the most stable polymorph in this dataset: 1.4 kJ per mole of atoms
- Magnetization: 0.00 μB/atom
- SG: P3m1, No. 156
- Calculated formation energy: 0.27 eV per formula unit

[4]
Computed, not measured: a relaxed structure of YHg2Cl at the GGA-PBE level of DFT.

Geometry as POSCAR:
```
YHg2Cl
1.0
10.0761 0.0000 0.0000
0.0000 3.6663 0.0000
-1.6964 0.0000 5.5833
Y Hg Cl
2 4 2
Direct
0.0000 0.0000 0.0000
0.5000 0.5000 0.0000
0.0024 0.5000 0.4327
0.2591 0.0000 0.6162
0.5024 0.0000 0.4327
0.7591 0.5000 0.6162
0.2163 0.5000 0.0579
0.7163 0.0000 0.0579
```

Output
- Energy above the most stable polymorph in this dataset: 0.4 kJ per mole of atoms
- Magnetization: 0.00 μB/atom
- SG: Cm, No. 8
- Energy relative to the elements, uncorrected: -2.8 eV/f.u.

[5]
Computed, not measured: a relaxed structure of MnCo2P at the GGA-PBE level of DFT.

Geometry as POSCAR:
```
MnCo2P
1.0
2.7109 0.0000 0.0000
0.0000 2.7109 0.0000
0.0000 0.0000 6.1930
Mn Co P
1 2 1
Direct
0.0000 0.0000 0.0000
0.5000 0.5000 0.2922
0.5000 0.5000 0.7078
0.0000 0.0000 0.5000
```

Output
- Magnetization: 1.17 μB/atom
- SG: P4/mmm, No. 123
- Calculated formation energy: -0.66 eV per formula unit

[6]
Computed, not measured: a relaxed structure of Tm6RhPb3 at the GGA-PBE level of DFT.

Geometry as POSCAR:
```
Tm6RhPb3
1.0
6.1341 0.0000 0.0000
0.0000 8.6608 0.0000
-5.7227 0.0000 10.6304
Tm Rh Pb
12 2 6
Direct
0.0645 0.1566 0.4427
0.0645 0.3434 0.9427
0.3383 0.7016 0.4364
0.3383 0.7984 0.9364
0.4087 0.0501 0.2681
0.4087 0.4499 0.7681
0.5913 0.5501 0.2319
0.5913 0.9499 0.7319
0.6617 0.2016 0.0636
0.6617 0.2984 0.5636
0.9355 0.6566 0.0573
0.9355 0.8434 0.5573
0.5000 0.0000 0.5000
0.5000 0.5000 0.0000
0.0000 0.0000 0.0000
0.0000 0.5000 0.5000
0.1652 0.1137 0.7642
0.1652 0.3863 0.2642
0.8348 0.6137 0.7358
0.8348 0.8863 0.2358
```

Output
- Magnetization: 0.00 μB/atom
- SG: P2_1/c, No. 14
- Calculated formation energy: -4.29 eV per formula unit

[7]
Computed, not measured: a relaxed structure of HgTe4Rh at the GGA-PBE level of DFT.

Geometry as POSCAR:
```
HgTe4Rh
1.0
0.0000 4.4221 4.4221
4.4221 0.0000 4.4221
4.4221 4.4221 0.0000
Hg Te Rh
1 4 1
Direct
0.0000 0.0000 0.0000
0.3756 0.3756 0.3756
0.3756 0.3756 0.8733
0.3756 0.8733 0.3756
0.8733 0.3756 0.3756
0.7500 0.7500 0.7500
```

Output
- Magnetization: 0.00 μB/atom
- SG: F-43m, No. 216
- Energy relative to the elements, uncorrected: 4.5 eV/f.u.

[8]
Computed, not measured: a relaxed structure of Er3ThTl2 at the GGA-PBE level of DFT.

Geometry as POSCAR:
```
Er3ThTl2
1.0
3.6133 0.0000 0.0000
0.0000 3.6133 0.0000
0.0000 0.0000 12.9576
Er Th Tl
3 1 2
Direct
0.0000 0.0000 0.0000
0.0000 0.0000 0.3181
0.0000 0.0000 0.6819
0.5000 0.5000 0.5000
0.5000 0.5000 0.1595
0.5000 0.5000 0.8405
```

Output
- Magnetization: 0.03 μB/atom
- SG: P4/mmm, No. 123
- Calculated formation energy: -1.35 eV per formula unit

| no. | energy (eV for the cell shown) |
| --- | --- |
| 1 | -87.9 |
| 2 | -73.4 |
| 3 | -24.8 |
| 4 | -23.5 |
| 5 | -29.5 |
| 6 | -99.2 |
| 7 | -15.7 |
| 8 | -27.2 |